(1)
This record from Alexandria via LeMat-Bulk describes a relaxed K2NbO6 crystal. The functional is GGA-PBE.

Summary:
DOS(E_F) (states/eV/f.u.): 1.88
Theoretical density (g/cm³): 2.24
Magnetization (μB/f.u.): 5.05
Uncorrected formation energy (meV/atom): -1054
DFT total energy (eV for the cell shown): -103.008

Structure (CIF):
```
data_K2NbO6
_symmetry_space_group_name_H-M 'I m m 2'
_symmetry_Int_Tables_number 44
_cell_length_a 6.4461
_cell_length_b 8.5023
_cell_length_c 7.2134
_cell_angle_alpha 90.00
_cell_angle_beta 90.00
_cell_angle_gamma 90.00
loop_
_symmetry_equiv_pos_as_xyz
'x,y,z'
'-x,-y,z'
'-x,y,z'
'x,-y,z'
'x+1/2,y+1/2,z+1/2'
'-x+1/2,-y+1/2,z+1/2'
'-x+1/2,y+1/2,z+1/2'
'x+1/2,-y+1/2,z+1/2'
loop_
_atom_site_label
_atom_site_fract_x
_atom_site_fract_y
_atom_site_fract_z
K1 0.0000 0.2331 0.0000
Nb1 0.0000 0.5000 0.4964
O1 0.0000 0.2985 0.6365
O2 0.1653 0.5000 0.7861
O3 0.2326 0.5000 0.3521
```

---

(2)
This record from Alexandria via LeMat-Bulk describes a relaxed TbTmPdRu crystal. The functional is GGA-PBE.

Summary:
DOS(E_F) (states/eV/f.u.): 1.65
Theoretical density (g/cm³): 10.99
Magnetization (μB/f.u.): 0.00
Energy of formation from the pure elements (eV per atom): -0.669
DFT total energy (eV for the cell shown): -104.991

Structure (CIF):
```
data_TbTmPdRu
_symmetry_space_group_name_H-M 'F -4 3 m'
_symmetry_Int_Tables_number 216
_symmetry_space_group_name_Hall 'F -4 2 3'
_cell_length_a 6.8645
_cell_length_b 6.8645
_cell_length_c 6.8645
_cell_angle_alpha 90.00
_cell_angle_beta 90.00
_cell_angle_gamma 90.00
loop_
_atom_site_label
_atom_site_fract_x
_atom_site_fract_y
_atom_site_fract_z
Tb1 0.0000 0.0000 0.0000
Tm1 0.0000 0.0000 0.5000
Pd1 0.2500 0.2500 0.2500
Ru1 0.2500 0.2500 0.7500
```